# 1
Density functional theory data (GGA-PBE) for crystalline RbLi2SI at its relaxed geometry.

Structure (POSCAR):
```
RbLi2SI
1.0
4.888 0.000 0.000
0.000 4.888 0.000
0.000 0.000 6.659
Rb Li S I
1 2 1 1
direct
0.000 0.000 0.000
0.000 0.500 0.500
0.500 0.000 0.500
0.000 0.000 0.500
0.500 0.500 0.000
```

Theoretical density = 2.7 g/cm3
Fermi-level density of states = 0.0 states/eV/cell
Space-group type = P4/mmm (123)
Energy above the lowest structure with this stoichiometry = 0.1098 eV per atom
Raw formation energy = -1.15 eV per atom

---

# 2
Density functional theory data (GGA-PBE) for crystalline CaRe2Pt at its relaxed geometry.

Structure (POSCAR):
```
CaRe2Pt
1.0
-1.390 2.325 5.465
1.390 -2.325 5.465
1.390 2.325 -5.465
Ca Re Pt
1 2 1
direct
0.000 0.000 0.000
0.283 0.783 0.500
0.717 0.217 0.500
0.500 0.500 0.000
```

Theoretical density = 14.3 g/cm3
Fermi-level density of states = 1.8 states/eV/cell
Formation enthalpy at 0 K = 0.1345 eV/atom
Space-group type = Immm (71)
Energy above the lowest structure with this stoichiometry = 0.0452 eV per atom

---

# 3
Density functional theory data (GGA-PBE) for crystalline Er8In2Pb at its relaxed geometry.

Structure (POSCAR):
```
Er8In2Pb
1.0
-2.526 4.263 7.336
2.526 -4.263 7.336
2.526 4.263 -7.336
Er In Pb
8 2 1
direct
0.127 0.341 0.785
0.144 0.144 0.000
0.306 0.000 0.306
0.444 0.659 0.785
0.556 0.341 0.215
0.694 0.000 0.694
0.856 0.856 0.000
0.873 0.659 0.215
0.304 0.804 0.500
0.696 0.196 0.500
0.000 0.500 0.500
```

Theoretical density = 9.3 g/cm3
Fermi-level density of states = 12.7 states/eV/cell
Formation enthalpy at 0 K = -0.1947 eV/atom
Space-group type = Immm (71)
Energy above the lowest structure with this stoichiometry = 0.0569 eV per atom

---

# 4
Density functional theory data (GGA-PBE) for crystalline FeCuPb2Au at its relaxed geometry.

Structure (POSCAR):
```
FeCuPb2Au
1.0
5.060 0.000 0.000
0.000 5.060 0.000
0.000 0.000 4.583
Fe Cu Pb Au
1 1 2 1
direct
0.000 0.000 0.000
0.000 0.000 0.500
0.000 0.500 0.000
0.500 0.000 0.000
0.500 0.500 0.500
```

Theoretical density = 10.3 g/cm3
Fermi-level density of states = 5.2 states/eV/cell
Formation enthalpy at 0 K = 0.5832 eV/atom
Space-group type = P4/mmm (123)

---

# 5
Density functional theory data (GGA-PBE) for crystalline La2NiAu at its relaxed geometry.

Structure (POSCAR):
```
La2NiAu
1.0
0.000 3.518 3.518
3.518 0.000 3.518
3.518 3.518 0.000
La Ni Au
2 1 1
direct
0.000 0.000 0.000
0.250 0.250 0.250
0.500 0.500 0.500
0.750 0.750 0.750
```

Theoretical density = 10.2 g/cm3
Fermi-level density of states = 3.3 states/eV/cell
Formation enthalpy at 0 K = -0.3597 eV/atom
Space-group type = F-43m (216)

---

# 6
Density functional theory data (GGA-PBE) for crystalline TcIr4 at its relaxed geometry.

Structure (POSCAR):
```
TcIr4
1.0
-3.061 3.061 1.933
3.061 -3.061 1.933
3.061 3.061 -1.933
Tc Ir
1 4
direct
0.000 0.000 0.000
0.203 0.603 0.807
0.397 0.203 0.600
0.603 0.797 0.400
0.797 0.397 0.193
```

Theoretical density = 19.9 g/cm3
Fermi-level density of states = 4.9 states/eV/cell
Formation enthalpy at 0 K = -0.1077 eV/atom
Space-group type = I4/m (87)
Energy above the lowest structure with this stoichiometry = 0.0000 eV per atom

---

# 7
Density functional theory data (GGA-PBE) for crystalline Ni3Te3I at its relaxed geometry.

Structure (POSCAR):
```
Ni3Te3I
1.0
8.899 0.000 0.000
-4.449 7.707 0.000
0.000 0.000 5.315
Ni Te I
6 6 2
direct
0.162 0.833 0.250
0.167 0.328 0.250
0.328 0.162 0.750
0.672 0.838 0.250
0.833 0.672 0.750
0.838 0.167 0.750
0.156 0.840 0.750
0.160 0.316 0.750
0.316 0.156 0.250
0.684 0.844 0.750
0.840 0.684 0.250
0.844 0.160 0.250
0.333 0.667 0.250
0.667 0.333 0.750
```

Theoretical density = 6.2 g/cm3
Fermi-level density of states = 13.8 states/eV/cell
Space-group type = P6_3/m (176)
Raw formation energy = 0.01 eV per atom

---

# 8
Density functional theory data (GGA-PBE) for crystalline CdTe3 at its relaxed geometry.

Structure (POSCAR):
```
CdTe3
1.0
6.129 0.000 0.000
0.000 6.129 0.000
0.000 0.000 6.129
Cd Te
2 6
direct
0.000 0.000 0.000
0.500 0.500 0.500
0.000 0.250 0.500
0.000 0.750 0.500
0.250 0.500 0.000
0.500 0.000 0.250
0.500 0.000 0.750
0.750 0.500 0.000
```

Theoretical density = 7.1 g/cm3
Fermi-level density of states = 11.6 states/eV/cell
Space-group type = Pm-3n (223)
Raw formation energy = 0.35 eV per atom

---

# 9
Density functional theory data (GGA-PBE) for crystalline PrEuCdAu at its relaxed geometry.

Structure (POSCAR):
```
PrEuCdAu
1.0
0.000 3.816 3.816
3.816 0.000 3.816
3.816 3.816 0.000
Pr Eu Cd Au
1 1 1 1
direct
0.000 0.000 0.000
0.500 0.500 0.500
0.750 0.750 0.750
0.250 0.250 0.250
```

Theoretical density = 9.0 g/cm3
Fermi-level density of states = 8.0 states/eV/cell
Formation enthalpy at 0 K = -0.5162 eV/atom
Space-group type = F-43m (216)

---

# 10
Density functional theory data (GGA-PBE) for crystalline BaCd2O2 at its relaxed geometry.

Structure (POSCAR):
```
BaCd2O2
1.0
-2.215 2.215 4.727
2.215 -2.215 4.727
2.215 2.215 -4.727
Ba Cd O
1 2 2
direct
0.000 0.000 0.000
0.351 0.351 0.000
0.649 0.649 0.000
0.250 0.750 0.500
0.750 0.250 0.500
```

Theoretical density = 7.1 g/cm3
Fermi-level density of states = 0.0 states/eV/cell
Space-group type = I4/mmm (139)
Energy above the lowest structure with this stoichiometry = 0.0000 eV per atom
Raw formation energy = -1.15 eV per atom

---

# 11
Density functional theory data (GGA-PBE) for crystalline SmEr4Cd at its relaxed geometry.

Structure (POSCAR):
```
SmEr4Cd
1.0
4.321 -7.045 0.000
4.321 7.045 0.000
-2.052 0.000 5.925
Sm Er Cd
2 8 2
direct
0.090 0.910 0.750
0.910 0.090 0.250
0.093 0.341 0.877
0.212 0.593 0.458
0.341 0.093 0.377
0.407 0.788 0.042
0.593 0.212 0.958
0.659 0.907 0.623
0.788 0.407 0.542
0.907 0.659 0.123
0.500 0.500 0.250
0.500 0.500 0.750
```

Theoretical density = 8.6 g/cm3
Fermi-level density of states = 16.5 states/eV/cell
Formation enthalpy at 0 K = 0.0098 eV/atom
Space-group type = C2/c (15)
Energy above the lowest structure with this stoichiometry = 0.0965 eV per atom